# 1
{"formula": "Rb3Mg2CuF9", "functional": "PBE", "state": "relaxed", "lattice": [[-5.504, 1.929, 0.439], [1.162, -5.696, 0.638], [0.903, 0.973, 7.045]], "species": ["Rb", "Rb", "Rb", "Mg", "Mg", "Cu", "F", "F", "F", "F", "F", "F", "F", "F", "F"], "frac_coords": [[0.333, 0.667, 0.663], [0.000, 0.000, 0.000], [0.667, 0.333, 0.337], [0.333, 0.667, 0.162], [0.667, 0.333, 0.838], [0.000, 0.000, 0.500], [0.832, 0.168, 0.669], [0.832, 0.663, 0.669], [0.337, 0.168, 0.669], [0.663, 0.832, 0.331], [0.168, 0.337, 0.331], [0.168, 0.832, 0.331], [0.500, 0.000, 0.000], [0.000, 0.500, 0.000], [0.500, 0.500, 0.000]], "magnetic_moment_mub_per_atom": 0.07, "e_tot_ev_per_atom": -4.641, "volume_a3_per_atom": 14.16}

# 2
{"formula": "Rb2MgCuF6", "functional": "PBE", "state": "relaxed", "lattice": [[-0.516, 5.647, -1.793], [-5.688, -0.976, -1.437], [-4.231, 3.417, 2.116]], "species": ["Mg", "Cu", "Rb", "Rb", "F", "F", "F", "F", "F", "F"], "frac_coords": [[0.500, 0.500, 0.000], [0.000, 0.000, 0.000], [0.750, 0.250, 0.500], [0.250, 0.750, 0.500], [0.241, 0.241, 0.519], [0.759, 0.759, 0.481], [0.259, 0.259, 0.000], [0.741, 0.741, 0.000], [0.741, 0.259, 0.000], [0.259, 0.741, 0.000]], "magnetic_moment_mub_per_atom": 0.10, "e_tot_ev_per_atom": -4.520, "volume_a3_per_atom": 14.31}

# 3
{"formula": "RbMgCu2F8", "functional": "PBE", "state": "relaxed", "lattice": [[-2.027, 0.800, -5.017], [2.814, -4.555, 1.118], [-6.454, -3.483, 2.051]], "species": ["Rb", "Mg", "Cu", "Cu", "F", "F", "F", "F", "F", "F", "F", "F"], "frac_coords": [[0.000, 0.000, 0.000], [0.000, 0.000, 0.500], [0.667, 0.333, 0.300], [0.333, 0.667, 0.700], [0.333, 0.667, 0.939], [0.304, 0.284, 0.346], [0.716, 0.020, 0.346], [0.667, 0.333, 0.061], [0.284, 0.980, 0.654], [0.696, 0.716, 0.654], [0.020, 0.304, 0.654], [0.980, 0.696, 0.346]], "magnetic_moment_mub_per_atom": 0.25, "e_tot_ev_per_atom": -4.223, "volume_a3_per_atom": 16.44}

# 4
{"formula": "Mg2CuReF", "functional": "PBE", "state": "relaxed", "lattice": [[-0.435, 4.009, 0.090], [-2.027, -0.129, -4.079], [-3.586, -0.430, 1.796]], "species": ["Re", "Mg", "Mg", "Cu", "F"], "frac_coords": [[0.000, 0.500, 0.000], [0.000, 0.000, 0.500], [0.500, 0.000, 0.000], [0.500, 0.500, 0.500], [0.000, 0.000, 0.000]], "magnetic_moment_mub_per_atom": 0.00, "e_tot_ev_per_atom": -4.227, "volume_a3_per_atom": 14.83}